(1)
A relaxed structure of Eu2PS. Source: Alexandria, functional PBE-GGA.

Results
Fermi-level density of states   16.5 states/eV/f.u.
Energy   -109.91 eV/cell
Formation energy from raw total energies   -1637 meV/atom
Crystal system   trigonal
Calculated density   5.97 g/cm³

Geometry as CIF:
```
data_Eu2PS
_chemical_formula_sum 'Eu6 P3 S3'
_cell_length_a 4.1546
_cell_length_b 4.1546
_cell_length_c 20.4978
_cell_angle_alpha 90.00
_cell_angle_beta 90.00
_cell_angle_gamma 120.00
_space_group_name_H-M_alt 'R -3 m'
_space_group_IT_number 166
_space_group_name_Hall '-R 3 2"'
loop_
_atom_site_label
_atom_site_fract_x
_atom_site_fract_y
_atom_site_fract_z
Eu1 0.0000 0.0000 0.2490
P1 0.0000 0.0000 0.5000
S1 0.0000 0.0000 0.0000
```

***

(2)
A relaxed structure of Pm2Cu5Pt4. Source: Alexandria, functional PBE-GGA.

Results
Fermi-level density of states   4.1 states/eV/f.u.
Energy   -238.29 eV/cell
Energy relative to the elements   -0.493 eV per atom
Crystal system   orthorhombic
Calculated density   11.69 g/cm³

Geometry as CIF:
```
data_Pm2Cu5Pt4
_chemical_formula_sum 'Pm8 Cu20 Pt16'
_cell_length_a 5.1982
_cell_length_b 9.0110
_cell_length_c 16.8376
_cell_angle_alpha 90.00
_cell_angle_beta 90.00
_cell_angle_gamma 90.00
_space_group_name_H-M_alt 'F m m m'
_space_group_IT_number 69
_space_group_name_Hall '-F 2 2'
loop_
_atom_site_label
_atom_site_fract_x
_atom_site_fract_y
_atom_site_fract_z
Pm1 0.0000 0.0000 0.1389
Cu1 0.0000 0.0000 0.5000
Cu2 0.2500 0.2500 0.0000
Cu3 0.2500 0.2500 0.2500
Pt1 0.0000 0.1636 0.3734
```

***

(3)
A relaxed structure of HfMgInAu. Source: Alexandria, functional PBE-GGA.

Results
Fermi-level density of states   1.8 states/eV/f.u.
Energy   -18.92 eV/cell
Energy relative to the elements   -0.338 eV per atom
Crystal system   tetragonal
Calculated density   10.41 g/cm³

Geometry as CIF:
```
data_HfMgInAu
_chemical_formula_sum 'Hf1 Mg1 In1 Au1'
_cell_length_a 3.2448
_cell_length_b 3.2448
_cell_length_c 7.7964
_cell_angle_alpha 90.00
_cell_angle_beta 90.00
_cell_angle_gamma 90.00
_space_group_name_H-M_alt 'P 4 m m'
_space_group_IT_number 99
loop_
_space_group_symop_operation_xyz
'x,y,z'
'-y,x,z'
'-x,-y,z'
'y,-x,z'
'-x,y,z'
'y,x,z'
'x,-y,z'
'-y,-x,z'
loop_
_atom_site_label
_atom_site_fract_x
_atom_site_fract_y
_atom_site_fract_z
Hf1 0.0000 0.0000 0.0000
Mg1 0.0000 0.0000 0.4476
In1 0.5000 0.5000 0.7298
Au1 0.5000 0.5000 0.2334
```

***

(4)
A relaxed structure of Tb5Pr2Er. Source: Alexandria, functional PBE-GGA.

Results
Fermi-level density of states   11.1 states/eV/f.u.
Energy   -74.25 eV/cell
Energy relative to the elements   0.019 eV per atom
Crystal system   orthorhombic
Calculated density   7.89 g/cm³
Energy above the lowest structure with this stoichiometry   0 meV per atom

Geometry as CIF:
```
data_Tb5Pr2Er
_chemical_formula_sum 'Tb10 Pr4 Er2'
_cell_length_a 7.1828
_cell_length_b 14.3680
_cell_length_c 5.0752
_cell_angle_alpha 90.00
_cell_angle_beta 90.00
_cell_angle_gamma 90.00
_space_group_name_H-M_alt 'P b a m'
_space_group_IT_number 55
loop_
_space_group_symop_operation_xyz
'x,y,z'
'-x,-y,-z'
'-x,-y,z'
'x,y,-z'
'x+1/2,-y+1/2,-z'
'-x+1/2,y+1/2,z'
'-x+1/2,y+1/2,-z'
'x+1/2,-y+1/2,z'
loop_
_atom_site_label
_atom_site_fract_x
_atom_site_fract_y
_atom_site_fract_z
Tb1 0.0000 0.0000 0.0000
Tb2 0.0017 0.2503 0.0000
Tb3 0.2485 0.8751 0.5000
Pr1 0.2486 0.6248 0.5000
Er1 0.0000 0.5000 0.0000
```

***

(5)
A relaxed structure of ErCuBiPd. Source: Alexandria, functional PBE-GGA.

Results
Fermi-level density of states   2.3 states/eV/f.u.
Energy   -78.28 eV/cell
Energy relative to the elements   -0.459 eV per atom
Crystal system   cubic
Calculated density   11.18 g/cm³

Geometry as CIF:
```
data_ErCuBiPd
_chemical_formula_sum 'Er4 Cu4 Bi4 Pd4'
_cell_length_a 6.8714
_cell_length_b 6.8714
_cell_length_c 6.8714
_cell_angle_alpha 90.00
_cell_angle_beta 90.00
_cell_angle_gamma 90.00
_space_group_name_H-M_alt 'F -4 3 m'
_space_group_IT_number 216
_space_group_name_Hall 'F -4 2 3'
loop_
_atom_site_label
_atom_site_fract_x
_atom_site_fract_y
_atom_site_fract_z
Er1 0.0000 0.0000 0.0000
Cu1 0.2500 0.2500 0.2500
Bi1 0.0000 0.0000 0.5000
Pd1 0.2500 0.2500 0.7500
```

***

(6)
A relaxed structure of HgBiI5. Source: Alexandria, functional PBE-GGA.

Results
Energy   -56.97 eV/cell
Formation energy from raw total energies   -330 meV/atom
Crystal system   monoclinic
Calculated density   4.92 g/cm³
Energy above the lowest structure with this stoichiometry   0 meV per atom

Geometry as CIF:
```
data_HgBiI5
_chemical_formula_sum 'Hg4 Bi4 I20'
_cell_length_a 11.7301
_cell_length_b 11.7624
_cell_length_c 11.7405
_cell_angle_alpha 90.00
_cell_angle_beta 119.62
_cell_angle_gamma 90.00
_space_group_name_H-M_alt 'C 1 2/c 1'
_space_group_IT_number 15
loop_
_space_group_symop_operation_xyz
'x,y,z'
'-x,-y,-z'
'-x,y,-z+1/2'
'x,-y,z+1/2'
'x+1/2,y+1/2,z'
'-x+1/2,-y+1/2,-z'
'-x+1/2,y+1/2,-z+1/2'
'x+1/2,-y+1/2,z+1/2'
loop_
_atom_site_label
_atom_site_fract_x
_atom_site_fract_y
_atom_site_fract_z
Hg1 0.0000 0.1116 0.2500
Bi1 0.2500 0.2500 0.0000
I1 0.0000 0.3377 0.7500
I2 0.1105 0.2935 0.1618
I3 0.1940 0.0110 0.4823
```

***

(7)
A relaxed structure of Pm4B2Br5. Source: Alexandria, functional PBE-GGA.

Results
Fermi-level density of states   4.4 states/eV/f.u.
Energy   -109.10 eV/cell
Formation energy from raw total energies   -1257 meV/atom
Crystal system   orthorhombic
Calculated density   5.18 g/cm³
Energy above the lowest structure with this stoichiometry   7 meV per atom

Geometry as CIF:
```
data_Pm4B2Br5
_chemical_formula_sum 'Pm8 B4 Br10'
_cell_length_a 4.0099
_cell_length_b 8.1978
_cell_length_c 19.5277
_cell_angle_alpha 90.00
_cell_angle_beta 90.00
_cell_angle_gamma 90.00
_space_group_name_H-M_alt 'I m m m'
_space_group_IT_number 71
_space_group_name_Hall '-I 2 2'
loop_
_atom_site_label
_atom_site_fract_x
_atom_site_fract_y
_atom_site_fract_z
Pm1 0.0000 0.0000 0.1617
Pm2 0.0000 0.2942 0.5000
B1 0.0000 0.0000 0.0403
Br1 0.0000 0.2360 0.3360
Br2 0.0000 0.5000 0.0000
```

***

(8)
A relaxed structure of ZnCdTc. Source: Alexandria, functional PBE-GGA.

Results
Fermi-level density of states   3.1 states/eV/f.u.
Energy   -11.68 eV/cell
Energy relative to the elements   0.293 eV per atom
Crystal system   trigonal
Calculated density   9.18 g/cm³
Energy above the lowest structure with this stoichiometry   258 meV per atom

Geometry as CIF:
```
data_ZnCdTc
_chemical_formula_sum 'Zn1 Cd1 Tc1'
_cell_length_a 2.8480
_cell_length_b 2.8480
_cell_length_c 7.1037
_cell_angle_alpha 90.00
_cell_angle_beta 90.00
_cell_angle_gamma 120.00
_space_group_name_H-M_alt 'P 3 m 1'
_space_group_IT_number 156
loop_
_space_group_symop_operation_xyz
'x,y,z'
'-y,x-y,z'
'-x+y,-x,z'
'-y,-x,z'
'-x+y,y,z'
'x,x-y,z'
loop_
_atom_site_label
_atom_site_fract_x
_atom_site_fract_y
_atom_site_fract_z
Zn1 0.0000 0.0000 0.0000
Cd1 0.6667 0.3333 0.3576
Tc1 0.3333 0.6667 0.7016
```